! Mg2ScSi (PBE, relaxed); values from VASP
&SYSTEM
  ibrav = 0, nat = 4, ntyp = 3
/
ATOMIC_SPECIES
Mg 24.30 Mg.upf
Sc 44.96 Sc.upf
Si 28.09 Si.upf
ATOMIC_POSITIONS angstrom
Mg 0.000 0.000 0.000
Mg 0.000 2.133 2.141
Sc 2.133 0.000 2.141
Si 0.000 0.000 4.281
CELL_PARAMETERS angstrom
-2.133 2.133 4.281
2.133 -2.133 4.281
2.133 2.133 -4.281
! - calculated density (kg/m3) = 2593
! - ΔE_f (raw) (eV per atom) = -0.132
! - magnetization (μB/f.u.) = 0.00
! - final energy (eV per atom) = -3.868